Entry 1:
PmAg2Cl6 | PBE-GGA | optimized geometry

```
18
Lattice="6.702 -6.618 0.000 6.702 6.618 0.000 -2.212 0.000 6.699" Properties=species:S:1:pos:R:3 pbc="T T T"
Pm 5.043 5.448 5.024
Pm 6.149 -5.448 1.675
Ag 3.330 1.276 5.717
Ag 4.436 -1.276 2.367
Ag 6.755 1.276 4.332
Ag 7.861 -1.276 0.982
Cl 0.142 0.818 4.300
Cl 3.058 3.686 5.569
Cl 1.248 -0.818 0.950
Cl 4.031 0.924 3.296
Cl 7.027 3.686 4.480
Cl 2.925 -0.924 6.646
Cl 8.267 0.924 0.053
Cl 4.164 -3.686 2.219
Cl 7.161 -0.924 3.403
Cl 9.943 0.818 5.749
Cl 8.133 -3.686 1.130
Cl 11.049 -0.818 2.399
```

Values from the calculation:
The value obtained for the uncorrected formation energy is -1174 meV/atom. As for the energy above the lowest structure with this stoichiometry: 0.0 kJ/mol of atoms. The value obtained for the total energy is -64.2 eV per cell. As for the density of states at the Fermi level: 9.52 states/eV/cell. Its space group is C2/c.


Entry 2:
PmAg5Cl12 | PBE-GGA | optimized geometry

```
18
Lattice="6.712 0.000 0.000 2.555 6.208 0.000 2.463 -0.503 12.492" Properties=species:S:1:pos:R:3 pbc="T T T"
Pm 0.000 0.000 0.000
Ag 4.052 3.885 6.257
Ag 5.478 1.516 12.491
Ag 4.588 -0.251 6.246
Ag 6.252 4.189 0.001
Ag 7.678 1.820 6.235
Cl 3.507 1.415 10.880
Cl 2.988 2.153 4.823
Cl 5.127 5.621 7.681
Cl 2.173 0.234 1.610
Cl 6.415 3.618 11.239
Cl 6.057 4.217 4.826
Cl 5.673 1.488 7.666
Cl 5.314 2.087 1.254
Cl 9.557 5.470 10.882
Cl 6.602 0.084 4.811
Cl 8.742 3.552 7.669
Cl 8.222 4.290 1.613
```

Values from the calculation:
The value obtained for the uncorrected formation energy is -753 meV/atom. The value obtained for the total energy is -54.7 eV per cell. As for the density of states at the Fermi level: 12.59 states/eV/cell. Its space group is P-1.